Record 1
Computed, not measured: an optimized crystal structure of HfZr3Ru at the PBE level of DFT.

Energy of formation from the pure elements: 1.484 eV per atom
E above lowest polymorph: 1.530 eV per atom
Crystal system: cubic

a = 5.0233 Å, b = 5.0233 Å, c = 5.0233 Å
α = 90.00°, β = 90.00°, γ = 90.00°
Element x y z (fractional)
Zr 0.5000 0.0000 0.0000
Hf 0.0000 0.0000 0.0000
Zr 0.0000 0.5000 0.0000
Zr 0.0000 0.0000 0.5000
Ru 0.5000 0.5000 0.5000

Record 2
Computed, not measured: an optimized crystal structure of SrBe4 at the PBE level of DFT.

Energy of formation from the pure elements: 2.563 eV per atom
E above lowest polymorph: 2.209 eV per atom
Crystal system: cubic

a = 5.6617 Å, b = 5.6617 Å, c = 5.6617 Å
α = 90.00°, β = 90.00°, γ = 90.00°
Element x y z (fractional)
Be 0.0000 0.0000 0.0000
Be 0.5000 0.5000 0.0000
Be 0.0000 0.5000 0.5000
Sr 0.5000 0.5000 0.5000
Be 0.5000 0.0000 0.5000

Record 3
Computed, not measured: an optimized crystal structure of HIr2N at the PBE level of DFT.

Crystal system: tetragonal

a = 4.4982 Å, b = 4.4982 Å, c = 5.3520 Å
α = 65.15°, β = 65.15°, γ = 90.00°
Element x y z (fractional)
Ir 0.8750 0.8545 0.7500
Ir 0.6045 0.1250 0.2500
H 0.2500 0.7500 0.5000
Ir 0.1455 0.6250 0.2500
H 0.5000 0.5000 0.0000
N 0.0000 0.0000 0.0000
N 0.7500 0.2500 0.5000
Ir 0.3750 0.3955 0.7500

Record 4
Computed, not measured: an optimized crystal structure of Na2ScIn2 at the PBE level of DFT.

Energy of formation from the pure elements: 0.058 eV per atom
E above lowest polymorph: 0.000 eV per atom
Crystal system: tetragonal

a = 8.8124 Å, b = 8.8124 Å, c = 3.2282 Å
α = 90.00°, β = 90.00°, γ = 90.00°
Each line ends with the local moment (μB).
Element x y z (fractional)
Na 0.1147 0.3853 0.0000  0.00
Sc 0.5000 0.5000 0.0000  0.23
In 0.8131 0.3131 0.5000  0.00
Na 0.8853 0.6147 0.0000  0.00
Sc 0.0000 0.0000 0.0000  0.23
Na 0.6147 0.1147 0.0000  0.00
Na 0.3853 0.8853 0.0000  0.00
In 0.6869 0.8131 0.5000  0.00
In 0.1869 0.6869 0.5000  0.00
In 0.3131 0.1869 0.5000  0.00

Record 5
Computed, not measured: an optimized crystal structure of NaCuAs2Br at the PBE level of DFT.

Uncorrected formation energy: 1031.5 meV/atom
E above lowest polymorph: 1.019 eV per atom
Crystal system: tetragonal

a = 5.1729 Å, b = 5.1729 Å, c = 5.2197 Å
α = 90.00°, β = 90.00°, γ = 90.00°
Each line ends with the local moment (μB).
Element x y z (fractional)
As 0.0000 0.5000 0.0000  0.32
Na 0.0000 0.0000 0.0000  0.00
Br 0.0000 0.0000 0.5000  0.18
Cu 0.5000 0.5000 0.5000  0.04
As 0.5000 0.0000 0.0000  0.32

Record 6
Computed, not measured: an optimized crystal structure of HfReNO2 at the PBE level of DFT.

Uncorrected formation energy: -386.6 meV/atom
Crystal system: tetragonal

a = 3.9794 Å, b = 3.9794 Å, c = 4.3840 Å
α = 90.00°, β = 90.00°, γ = 90.00°
Each line ends with the local moment (μB).
Element x y z (fractional)
O 0.0000 0.5000 0.0000  0.07
O 0.5000 0.0000 0.0000  0.07
Hf 0.0000 0.0000 0.0000  0.00
N 0.0000 0.0000 0.5000  -0.18
Re 0.5000 0.5000 0.5000  3.57

Table of DFT total energy (eV per atom), in record order: -7.490; -0.754; -6.810; -2.831; -2.246; -8.515